(1)
This record from the Alexandria database describes a PBEsol-optimized structure of Ba2NaZn2. The functional is SCAN.

Unit cell a=4.0407 b=4.0407 c=22.2289 alpha=90.00 beta=90.00 gamma=90.00
With the nearest neighbours (Å) after each atom.
Space group I4/mmm (No. 139)
One atom of each set of equivalent atoms:
Ba (0.0000, 0.0000, 0.1317) x4  4 Zn 3.32
Na (0.0000, 0.0000, 0.5000) x2  4 Na 4.04, 8 Ba 4.09
Zn (0.0000, 0.5000, 0.2500) x4  4 Zn 2.86

## Properties
Uncorrected energy: -109.98 eV/f.u.
Formation energy: 0.073 eV/atom
Distance to the lowest polymorph of the same formula: 0.177 eV per atom


(2)
This record from the Alexandria database describes a PBEsol-optimized structure of Ba5Nb2O10. The functional is SCAN.

Unit cell a=6.0193 b=10.6342 c=18.1994 alpha=90.00 beta=90.00 gamma=90.00
With the nearest neighbours (Å) after each atom.
Space group Cmc2_1 (No. 36)
One atom of each set of equivalent atoms:
Ba (0.0000, 0.0041, 0.0000) x4  4 O 2.58-2.81
Ba (0.0000, 0.0039, 0.2302) x4  5 O 2.57-2.81
Ba (0.0000, 0.3134, 0.8428) x4  6 O 2.54-2.79
Ba (0.0000, 0.3223, 0.6166) x4  7 O 2.74-3.03
Ba (0.0000, 0.3480, 0.3874) x4  4 O 2.49-2.72
Nb (0.0000, 0.3344, 0.1943) x4  5 O 1.89-2.07
Nb (0.0000, 0.3416, 0.0329) x4  4 O 1.91-2.02
O (0.0000, 0.0729, 0.8639) x4  3 Ba 2.57-2.59
O (0.0000, 0.1917, 0.1015) x4  1 Nb 2.02
O (0.0000, 0.4755, 0.2578) x4  1 Nb 1.89
O (0.0000, 0.4835, 0.4990) x4  1 Nb 1.96
O (0.2263, 0.4057, 0.1193) x8  2 Nb 2.07-2.19
O (0.2302, 0.2327, 0.2390) x8  1 Nb 1.94
O (0.2425, 0.2884, 0.9728) x8  1 Nb 1.91

## Properties
Uncorrected energy: -377.33 eV/f.u.
Formation energy without anion corrections: -3.00 eV/atom


(3)
This record from the Alexandria database describes a PBEsol-optimized structure of BaNb4O11. The functional is SCAN.

Unit cell a=6.3478 b=6.3478 c=12.5727 alpha=90.00 beta=90.00 gamma=120.00
With the nearest neighbours (Å) after each atom.
Space group P6_322 (No. 182)
One atom of each set of equivalent atoms:
Ba (0.3333, 0.6667, 0.2500) x2  8 O 2.61-2.72
Nb (0.0000, 0.3565, 0.5000) x6  6 O 1.97-2.09
Nb (0.3333, 0.6667, 0.7500) x2  6 O 2.00
O (0.0000, 0.2439, 0.0000) x6  2 Nb 2.00
O (0.0703, 0.4380, 0.6519) x12  2 Nb 1.97-2.00
O (0.3333, 0.6667, 0.0337) x4  3 Nb 2.09

## Properties
Uncorrected energy: -286.32 eV/f.u.
Formation energy without anion corrections: -2.86 eV/atom


(4)
This record from the Alexandria database describes a PBEsol-optimized structure of Ba4Nb3O12. The functional is SCAN.

Unit cell a=5.8311 b=5.8311 c=19.1464 alpha=90.00 beta=90.00 gamma=120.00
With the nearest neighbours (Å) after each atom.
Space group P6_3mc (No. 186)
One atom of each set of equivalent atoms:
Ba (0.0000, 0.0000, 0.0000) x2  12 O 2.73-3.04
Ba (0.3333, 0.6667, 0.1378) x2  12 O 2.74-2.92
Ba (0.3333, 0.6667, 0.3630) x2  9 O 2.75-2.97
Ba (0.3333, 0.6667, 0.7635) x2  12 O 2.92-3.03
Nb (0.0000, 0.0000, 0.2050) x2  3 O 1.88
Nb (0.3333, 0.6667, 0.5718) x2  6 O 2.01-2.02
Nb (0.3333, 0.6667, 0.9429) x2  3 O 1.88
O (0.0030, 0.5015, 0.5136) x6  2 Nb 2.01-2.17
O (0.1652, 0.3305, 0.2500) x6  1 Nb 1.88
O (0.1688, 0.3376, 0.6314) x6  2 Nb 2.02-2.21
O (0.1746, 0.3492, 0.8912) x6  1 Nb 1.88

## Properties
Uncorrected energy: -388.23 eV/f.u.
Formation energy without anion corrections: -2.94 eV/atom


(5)
This record from the Alexandria database describes a PBEsol-optimized structure of BaNb7O9. The functional is SCAN.

Unit cell a=4.2053 b=4.2053 c=12.4324 alpha=90.00 beta=90.00 gamma=90.00
With the nearest neighbours (Å) after each atom.
Space group P4/mmm (No. 123)
One atom of each set of equivalent atoms:
Ba (0.0000, 0.0000, 0.0000) x1  12 O 2.89-2.97
Nb (0.0000, 0.5000, 0.3288) x4  4 O 2.10-2.13
Nb (0.5000, 0.5000, 0.1678) x2  5 O 2.09-2.10
Nb (0.5000, 0.5000, 0.5000) x1  4 O 2.10
O (0.0000, 0.0000, 0.3346) x2  4 Nb 2.10
O (0.0000, 0.5000, 0.1600) x4  3 Nb 2.10
O (0.0000, 0.5000, 0.5000) x2  4 Nb 2.10-2.13
O (0.5000, 0.5000, 0.0000) x1  2 Nb 2.09

## Properties
Uncorrected energy: -368.76 eV/f.u.
Formation energy without anion corrections: -2.42 eV/atom


(6)
This record from the Alexandria database describes a PBEsol-optimized structure of BaNb5O8. The functional is SCAN.

Unit cell a=6.6192 b=6.6192 c=4.1317 alpha=90.00 beta=90.00 gamma=90.00
With the nearest neighbours (Å) after each atom.
Space group P4/m (No. 83)
One atom of each set of equivalent atoms:
Ba (0.0000, 0.0000, 0.0000) x1  12 O 2.89-2.93
Nb (0.2101, 0.5981, 0.5000) x4  5 O 2.07-2.16
Nb (0.5000, 0.5000, 0.0000) x1  4 O 2.11
O (0.0991, 0.2987, 0.5000) x4  3 Nb 2.09-2.16
O (0.2026, 0.6127, 0.0000) x4  3 Nb 2.07-2.11

## Properties
Uncorrected energy: -291.77 eV/f.u.
Formation energy without anion corrections: -2.62 eV/atom


(7)
This record from the Alexandria database describes a PBEsol-optimized structure of Ba4Nb14O23. The functional is SCAN.

Unit cell a=12.4547 b=20.8111 c=4.1650 alpha=90.00 beta=90.00 gamma=90.00
With the nearest neighbours (Å) after each atom.
Space group Cmmm (No. 65)
One atom of each set of equivalent atoms:
Ba (0.1697, 0.1014, 0.0000) x8  12 O 2.84-2.99
Nb (0.0000, 0.0000, 0.5000) x2  6 O 2.00-2.08
Nb (0.0000, 0.2013, 0.5000) x4  5 O 2.07-2.18
Nb (0.0000, 0.2961, 0.0000) x4  4 O 2.09-2.15
Nb (0.0000, 0.4000, 0.5000) x4  4 O 2.08-2.12
Nb (0.0000, 0.5000, 0.0000) x2  4 O 2.10-2.13
Nb (0.1617, 0.2989, 0.5000) x8  5 O 2.09-2.15
Nb (0.1635, 0.5000, 0.5000) x4  5 O 2.08-2.17
O (0.0000, 0.0000, 0.0000) x2  2 Nb 2.08
O (0.0000, 0.0963, 0.5000) x4  2 Nb 2.00-2.18
O (0.0000, 0.1953, 0.0000) x4  3 Nb 2.09-2.10
O (0.0000, 0.3993, 0.0000) x4  4 Nb 2.08-2.15
O (0.1627, 0.0000, 0.5000) x4  2 Nb 2.03-2.17
O (0.1659, 0.1970, 0.5000) x8  3 Nb 2.07-2.15
O (0.1677, 0.3027, 0.0000) x8  3 Nb 2.09
O (0.1703, 0.3999, 0.5000) x8  3 Nb 2.08-2.12
O (0.1708, 0.5000, 0.0000) x4  3 Nb 2.08-2.13

## Properties
Uncorrected energy: -874.10 eV/f.u.
Formation energy without anion corrections: -2.65 eV/atom


(8)
This record from the Alexandria database describes a PBEsol-optimized structure of BaNb2O6. The functional is SCAN.

Unit cell a=7.8089 b=12.3133 c=10.3383 alpha=90.00 beta=90.00 gamma=90.00
With the nearest neighbours (Å) after each atom.
Space group C222_1 (No. 20)
One atom of each set of equivalent atoms:
Ba (0.0000, 0.0710, 0.2500) x4  6 O 2.74-2.91
Ba (0.0000, 0.3674, 0.7500) x4  10 O 2.77-3.08
Nb (0.2305, 0.3616, 0.0723) x8  5 O 1.87-2.07
Nb (0.2343, 0.1430, 0.9229) x8  5 O 1.89-2.07
O (0.9999, 0.1601, 0.6172) x8  1 Nb 1.89
O (0.0016, 0.3805, 0.4673) x8  1 Nb 1.87
O (0.1862, 0.0000, 0.5000) x4  2 Nb 1.97
O (0.1921, 0.0000, 0.0000) x4  2 Nb 1.96
O (0.2119, 0.4214, 0.2503) x8  2 Nb 1.99-2.00
O (0.2174, 0.2002, 0.3901) x8  2 Nb 2.00-2.07
O (0.2173, 0.2027, 0.1092) x8  2 Nb 2.00-2.07

## Properties
Uncorrected energy: -170.02 eV/f.u.
Formation energy without anion corrections: -2.98 eV/atom


(9)
This record from the Alexandria database describes a PBEsol-optimized structure of Ba4Nb2O9. The functional is SCAN.

Unit cell a=5.9347 b=5.9347 c=8.3808 alpha=90.00 beta=90.00 gamma=120.00
With the nearest neighbours (Å) after each atom.
Space group P-3m1 (No. 164)
One atom of each set of equivalent atoms:
Ba (0.0000, 0.0000, 0.0000) x1  6 O 2.59
Ba (0.0000, 0.0000, 0.5000) x1  12 O 2.91-2.97
Ba (0.3333, 0.6667, 0.2499) x2  9 O 2.71-2.98
Nb (0.3333, 0.6667, 0.6625) x2  3 O 1.90
O (0.0000, 0.5000, 0.5000) x3  2 Nb 2.19
O (0.1727, 0.3454, 0.7746) x6  1 Nb 1.90

## Properties
Uncorrected energy: -325.87 eV/f.u.
Formation energy without anion corrections: -3.02 eV/atom


(10)
This record from the Alexandria database describes a PBEsol-optimized structure of Ba8Nb7O24. The functional is SCAN.

Unit cell a=5.8563 b=5.8563 c=19.0383 alpha=90.00 beta=90.00 gamma=120.00
With the nearest neighbours (Å) after each atom.
Space group P3m1 (No. 156)
One atom of each set of equivalent atoms:
Ba (0.0000, 0.0000, 0.0000) x1  9 O 2.73-2.99
Ba (0.0000, 0.0000, 0.2216) x1  9 O 2.70-2.94
Ba (0.0000, 0.0000, 0.6023) x1  12 O 2.85-2.95
Ba (0.3333, 0.6667, 0.0985) x1  12 O 2.94-3.05
Ba (0.3333, 0.6667, 0.4860) x1  12 O 2.79-3.03
Ba (0.3333, 0.6667, 0.7190) x1  12 O 2.84-2.93
Ba (0.6667, 0.3333, 0.3487) x1  12 O 2.79-2.94
Ba (0.6667, 0.3333, 0.8650) x1  9 O 2.65-2.96
Nb (0.0000, 0.0000, 0.4133) x1  6 O 2.04-2.05
Nb (0.0000, 0.0000, 0.7922) x1  6 O 1.94-2.10
Nb (0.3333, 0.6667, 0.2899) x1  6 O 2.00-2.07
Nb (0.3333, 0.6667, 0.9189) x1  3 O 1.87
Nb (0.6667, 0.3333, 0.1563) x1  3 O 1.87
Nb (0.6667, 0.3333, 0.5328) x1  6 O 2.04-2.10
Nb (0.6667, 0.3333, 0.6683) x1  6 O 2.03-2.09
O (0.0037, 0.5019, 0.2325) x3  1 Nb 2.00
O (0.0162, 0.5081, 0.9686) x3  1 Nb 1.87
O (0.1658, 0.3317, 0.8433) x3  1 Nb 1.94
O (0.1679, 0.3357, 0.3536) x3  2 Nb 2.05-2.07
O (0.3265, 0.1632, 0.7242) x3  2 Nb 2.03-2.10
O (0.3293, 0.1647, 0.4744) x3  2 Nb 2.04
O (0.3368, 0.1684, 0.1120) x3  1 Nb 1.87
O (0.5044, 0.0087, 0.6009) x3  2 Nb 2.09-2.10

## Properties
Uncorrected energy: -816.36 eV/f.u.
Formation energy without anion corrections: -3.04 eV/atom


(11)
This record from the Alexandria database describes a PBEsol-optimized structure of BaNb8O14. The functional is SCAN.

Unit cell a=9.3881 b=10.2973 c=5.9658 alpha=90.00 beta=90.00 gamma=90.00
With the nearest neighbours (Å) after each atom.
Space group Pbam (No. 55)
One atom of each set of equivalent atoms:
Ba (0.0000, 0.0000, 0.0000) x2  12 O 2.79-2.98
Nb (0.1168, 0.1645, 0.5000) x4  6 O 1.97-2.07
Nb (0.1198, 0.6646, 0.0000) x4  5 O 2.09-2.18
Nb (0.1246, 0.4232, 0.2327) x8  5 O 2.04-2.16
O (0.0000, 0.0000, 0.5000) x2  2 Nb 2.02
O (0.0000, 0.5000, 0.5000) x2  4 Nb 2.13
O (0.0046, 0.2467, 0.2462) x8  3 Nb 2.03-2.14
O (0.2348, 0.3229, 0.5000) x4  3 Nb 1.97-2.16
O (0.2424, 0.8438, 0.0000) x4  3 Nb 2.04-2.18
O (0.2430, 0.0872, 0.2488) x8  3 Nb 2.07-2.12

## Properties
Uncorrected energy: -453.06 eV/f.u.
Formation energy without anion corrections: -2.66 eV/atom